TiIr3Rh2 after structural relaxation. Source: Alexandria via LeMat-Bulk, functional GGA-PBE.

a b c (Å): 5.4695 13.3987 4.9141
angles (deg): 90.00 90.00 90.00
With the nearest neighbours (Å) after each atom.
Space group Cmcm (No. 63)
Symmetry-distinct sites (fractional):
Ti 0.0000 0.1523 0.2500 [4 per cell]  8 Ir 2.60-2.85, 4 Rh 2.74
Ir 0.0000 0.3506 0.7500 [4 per cell]  6 Ir 2.65-2.84, 4 Rh 2.72, 2 Ti 2.73
Ir 0.2475 0.3179 0.2500 [8 per cell]  3 Ti 2.60-2.85, 5 Ir 2.65-2.84, 2 Rh 2.73
Rh 0.2479 0.0000 0.0000 [8 per cell]  3 Rh 2.46-2.71, 4 Ir 2.72-2.73, 2 Ti 2.74

Calculated values
uncorrected energy = -8.331 eV per atom
E_form = -0.807 eV per formula unit
total moment = 0.000 μB per formula unit
crystal system = orthorhombic
density of states at the Fermi level = 32.21 states/eV per cell